Record 1
Below is a geometry-optimized CeGa3Ag structure, with properties calculated at the PBE-GGA level.

Cell: 8.239 8.239 5.702 Å, 90.00 90.00 147.90°
Fractional positions:
Ce 0.094 0.906 0.750
Ce 0.906 0.094 0.250
Ga 0.142 0.858 0.250
Ga 0.295 0.705 0.003
Ga 0.295 0.705 0.497
Ga 0.705 0.295 0.503
Ga 0.705 0.295 0.997
Ga 0.858 0.142 0.750
Ag 0.455 0.545 0.750
Ag 0.545 0.455 0.250

Calculated values
polymorph energy (0 for the lowest one) = 16.4 kJ per mole of atoms
SG = Cmcm
V = 206 Å³/cell

Record 2
Below is a geometry-optimized Ce2Ga3Ag6 structure, with properties calculated at the PBE-GGA level.

Cell: 7.823 7.823 4.406 Å, 90.00 90.00 120.00°
Fractional positions:
Ce 0.333 0.667 0.000
Ce 0.667 0.333 0.000
Ga 0.000 0.611 0.500
Ga 0.389 0.389 0.500
Ga 0.611 0.000 0.500
Ag 0.000 0.282 0.500
Ag 0.000 0.793 0.000
Ag 0.207 0.207 0.000
Ag 0.282 0.000 0.500
Ag 0.718 0.718 0.500
Ag 0.793 0.000 0.000

Calculated values
E = -40.2 eV per cell
SG = P-62m
V = 234 Å³/cell

Record 3
Below is a geometry-optimized Ce3Ga4Ag4 structure, with properties calculated at the PBE-GGA level.

Cell: 14.526 14.526 14.526 Å, 165.89 161.59 23.27°
Fractional positions:
Ce 0.000 0.000 0.000
Ce 0.357 0.857 0.500
Ce 0.643 0.143 0.500
Ga 0.188 0.688 0.500
Ga 0.453 0.453 0.000
Ga 0.547 0.547 0.000
Ga 0.812 0.312 0.500
Ag 0.094 0.594 0.500
Ag 0.259 0.259 0.000
Ag 0.741 0.741 0.000
Ag 0.906 0.406 0.500

Calculated values
E = -45.1 eV per cell
SG = Immm
V = 236 Å³/cell

Record 4
Below is a geometry-optimized Ce2Ga2Ag3 structure, with properties calculated at the PBE-GGA level.

Cell: 11.303 11.303 3.153 Å, 90.00 90.00 158.11°
Fractional positions:
Ce 0.151 0.849 0.000
Ce 0.849 0.151 0.000
Ga 0.281 0.719 0.500
Ga 0.719 0.281 0.500
Ag 0.000 0.000 0.000
Ag 0.437 0.563 0.500
Ag 0.563 0.437 0.500

Calculated values
polymorph energy (0 for the lowest one) = 0.0 kJ per mole of atoms
SG = Cmmm
V = 150 Å³/cell

Record 5
Below is a geometry-optimized Ce2Ga3Ag5 structure, with properties calculated at the PBE-GGA level.

Cell: 8.897 8.897 8.897 Å, 98.24 95.21 139.98°
Fractional positions:
Ce 0.130 0.236 0.366
Ce 0.370 0.736 0.106
Ce 0.630 0.264 0.894
Ce 0.870 0.764 0.634
Ga 0.130 0.869 0.999
Ga 0.250 0.750 0.500
Ga 0.370 0.369 0.739
Ga 0.630 0.631 0.261
Ga 0.750 0.250 0.500
Ga 0.870 0.131 0.001
Ag 0.008 0.750 0.258
Ag 0.109 0.650 0.759
Ag 0.250 0.250 0.000
Ag 0.391 0.150 0.541
Ag 0.492 0.750 0.742
Ag 0.508 0.250 0.258
Ag 0.609 0.850 0.459
Ag 0.750 0.750 0.000
Ag 0.891 0.350 0.241
Ag 0.992 0.250 0.742

Calculated values
polymorph energy (0 for the lowest one) = 2.3 kJ per mole of atoms
SG = Ibam
V = 425 Å³/cell

Record 6
Below is a geometry-optimized Ce4Ga2Ag5 structure, with properties calculated at the PBE-GGA level.

Cell: 7.661 3.290 10.057 Å, 90.00 94.63 90.00°
Fractional positions:
Ce 0.158 0.000 0.382
Ce 0.283 0.000 0.951
Ce 0.717 0.000 0.049
Ce 0.842 0.000 0.618
Ga 0.050 0.500 0.132
Ga 0.950 0.500 0.868
Ag 0.206 0.500 0.666
Ag 0.433 0.500 0.213
Ag 0.500 0.500 0.500
Ag 0.567 0.500 0.787
Ag 0.794 0.500 0.334

Calculated values
E = -45.8 eV per cell
SG = P2/m
V = 253 Å³/cell

Record 7
Below is a geometry-optimized CeGa2Ag structure, with properties calculated at the PBE-GGA level.

Cell: 7.155 4.510 10.221 Å, 90.00 90.00 90.00°
Fractional positions:
Ce 0.203 0.250 0.170
Ce 0.297 0.750 0.670
Ce 0.703 0.250 0.330
Ce 0.797 0.750 0.830
Ga 0.091 0.250 0.845
Ga 0.201 0.750 0.964
Ga 0.299 0.250 0.464
Ga 0.409 0.750 0.345
Ga 0.591 0.250 0.655
Ga 0.701 0.750 0.536
Ga 0.799 0.250 0.036
Ga 0.909 0.750 0.155
Ag 0.032 0.750 0.404
Ag 0.468 0.250 0.904
Ag 0.532 0.750 0.096
Ag 0.968 0.250 0.596

Calculated values
polymorph energy (0 for the lowest one) = 0.0 kJ per mole of atoms
SG = Pnma
V = 330 Å³/cell

Record 8
Below is a geometry-optimized CeGa2Ag structure, with properties calculated at the PBE-GGA level.

Cell: 5.618 5.618 5.618 Å, 46.54 46.54 46.54°
Fractional positions:
Ce 0.000 0.000 0.000
Ga 0.221 0.221 0.221
Ga 0.779 0.779 0.779
Ag 0.500 0.500 0.500

Calculated values
polymorph energy (0 for the lowest one) = 6.6 kJ per mole of atoms
SG = R-3m
V = 85 Å³/cell